{"formula": "TaMnAl2", "functional": "meta-GGA SCAN", "state": "PBEsol geometry", "lattice_angstrom": [[4.5116, 0.0000, 0.0000], [0.0000, 4.5116, 0.0000], [0.0000, 0.0000, 2.9583]], "species": ["Ta", "Mn", "Al", "Al"], "fractional_positions": [[0.0000, 0.0000, 0.0000], [0.5000, 0.5000, 0.0000], [0.0000, 0.5000, 0.5000], [0.5000, 0.0000, 0.5000]], "total_energy_ev_per_atom": -25.281, "density_g_cm3": 7.99, "spacegroup": "No. 123", "de_polymorph_mev_per_atom": 137.0}